Compound: KCoTc2Ag
Source: Alexandria via LeMat-Bulk
Functional: PBEsol
Structure: optimized geometry

## Properties
**Electronic total energy**: -0.1726 Ha/atom
**Formation energy from the elements**: 2247 meV/atom
**Crystal system**: tetragonal

abc: 5.0108 5.0108 4.7173
angles: 90.00 90.00 90.00
Space group P4/mmm (No. 123)
One atom of each set of equivalent atoms:
K  0.0000  0.0000  0.0000 x1
Co  0.5000  0.5000  0.0000 x1
Tc  0.0000  0.5000  0.5000 x2
Ag  0.5000  0.5000  0.5000 x1